[1]
Here is Cs2RbTlI6 after structural relaxation from Alexandria. Energies are from PBE-GGA.

abc: 9.186 9.186 9.186
angles: 60.00 60.00 60.00
Fractional coordinates of all 10 atoms:
Cs 0.250 0.250 0.250
Cs 0.750 0.750 0.750
Rb 0.000 0.000 0.000
Tl 0.500 0.500 0.500
I 0.268 0.268 0.732
I 0.268 0.732 0.268
I 0.268 0.732 0.732
I 0.732 0.268 0.268
I 0.732 0.268 0.732
I 0.732 0.732 0.268

Results
- final energy (eV per atom) = -2.405
- energy relative to the elements, uncorrected (eV/atom) = -0.971
- energy above the most stable polymorph in this dataset (kJ/mol of formula units) = 19
- SG = Fm-3m


[2]
Here is CsRb2TmI6 after structural relaxation from Alexandria. Energies are from PBE-GGA.

abc: 9.393 9.393 9.393
angles: 57.52 57.52 57.52
Fractional coordinates of all 10 atoms:
Cs 0.000 0.000 0.000
Rb 0.202 0.202 0.202
Rb 0.714 0.714 0.714
Tm 0.510 0.510 0.510
I 0.178 0.405 0.732
I 0.316 0.848 0.601
I 0.405 0.732 0.178
I 0.601 0.316 0.848
I 0.732 0.178 0.405
I 0.848 0.601 0.316

Results
- final energy (eV per atom) = -3.116
- energy relative to the elements, uncorrected (eV/atom) = -1.460
- SG = R3


[3]
Here is CsRbV2I8 after structural relaxation from Alexandria. Energies are from PBE-GGA.

abc: 12.145 12.145 12.145
angles: 38.26 38.26 38.26
Fractional coordinates of all 12 atoms:
Cs 0.000 0.000 0.000
Rb 0.500 0.500 0.500
V 0.257 0.257 0.257
V 0.743 0.743 0.743
I 0.044 0.826 0.434
I 0.174 0.566 0.956
I 0.334 0.334 0.334
I 0.434 0.044 0.826
I 0.566 0.956 0.174
I 0.666 0.666 0.666
I 0.826 0.434 0.044
I 0.956 0.174 0.566

Results
- final energy (eV per atom) = -3.489
- energy relative to the elements, uncorrected (eV/atom) = -0.784
- SG = R-3


[4]
Here is CsRbVI6 after structural relaxation from Alexandria. Energies are from PBE-GGA.

abc: 7.059 8.815 8.821
angles: 119.97 90.00 90.00
Fractional coordinates of all 9 atoms:
Cs 0.000 0.000 0.000
Rb 0.500 0.334 0.667
V 0.502 0.667 0.333
I 0.274 0.661 0.078
I 0.274 0.922 0.582
I 0.275 0.417 0.339
I 0.729 0.419 0.077
I 0.729 0.659 0.581
I 0.729 0.923 0.341

Results
- final energy (eV per atom) = -3.066
- energy relative to the elements, uncorrected (eV/atom) = -0.817
- SG = P1


[5]
Here is Cs2RbWI6 after structural relaxation from Alexandria. Energies are from PBE-GGA.

abc: 8.887 8.887 8.887
angles: 60.00 60.00 60.00
Fractional coordinates of all 10 atoms:
Cs 0.250 0.250 0.250
Cs 0.750 0.750 0.750
Rb 0.000 0.000 0.000
W 0.500 0.500 0.500
I 0.277 0.277 0.723
I 0.277 0.723 0.277
I 0.277 0.723 0.723
I 0.723 0.277 0.277
I 0.723 0.277 0.723
I 0.723 0.723 0.277

Results
- final energy (eV per atom) = -3.342
- energy relative to the elements, uncorrected (eV/atom) = -0.849
- SG = Fm-3m


[6]
Here is Cs2RbYI6 after structural relaxation from Alexandria. Energies are from PBE-GGA.

abc: 8.723 13.039 10.080
angles: 90.00 90.00 90.00
Fractional coordinates of all 20 atoms:
Cs 0.250 0.043 0.179
Cs 0.250 0.457 0.179
Cs 0.750 0.543 0.821
Cs 0.750 0.957 0.821
Rb 0.250 0.250 0.694
Rb 0.750 0.750 0.306
Y 0.250 0.750 0.798
Y 0.750 0.250 0.202
I 0.004 0.250 0.405
I 0.011 0.750 0.020
I 0.250 0.517 0.798
I 0.250 0.983 0.798
I 0.489 0.750 0.020
I 0.496 0.250 0.405
I 0.504 0.750 0.595
I 0.511 0.250 0.980
I 0.750 0.017 0.202
I 0.750 0.483 0.202
I 0.989 0.250 0.980
I 0.996 0.750 0.595

Results
- final energy (eV per atom) = -3.334
- energy relative to the elements, uncorrected (eV/atom) = -1.490
- energy above the most stable polymorph in this dataset (kJ/mol of formula units) = 0
- SG = Pmmn


Q: What is the energy relative to the elements, uncorrected in the third record?
A: -0.784 eV/atom